No. 1
YGa2Rh: relaxed, PBE.

Computed properties:
- Fermi-level density of states: 2.85 states/eV per cell
- Symmetry: R-3m
- Uncorrected energy: -22.7 eV/cell

The structure in POSCAR format:
```
YGa2Rh
1.0
2.1079 1.2170 4.9891
-2.1079 1.2170 4.9891
0.0000 -2.4340 4.9891
Y Ga Rh
1 2 1
Direct
0.0000 0.0000 0.0000
0.2167 0.2167 0.2167
0.7833 0.7833 0.7833
0.5000 0.5000 0.5000
```

No. 2
Y2GaRh3: relaxed, PBE.

Computed properties:
- Fermi-level density of states: 3.49 states/eV per cell
- Symmetry: Immm
- Uncorrected energy: -41.1 eV/cell
- Offset from the most stable computed form: 2.11 eV/f.u.

The structure in POSCAR format:
```
Y2GaRh3
1.0
-2.2492 2.6741 4.9182
2.2492 -2.6741 4.9182
2.2492 2.6741 -4.9182
Y Ga Rh
2 1 3
Direct
0.1864 0.1864 0.0000
0.8136 0.8136 0.0000
0.5000 0.5000 0.0000
0.0000 0.5000 0.5000
0.3669 0.8669 0.5000
0.6331 0.1331 0.5000
```

No. 3
Y4Ga3Rh: relaxed, PBE.

Computed properties:
- Fermi-level density of states: 7.85 states/eV per cell
- Symmetry: Pmm2
- Uncorrected energy: -47.8 eV/cell

The structure in POSCAR format:
```
Y4Ga3Rh
1.0
4.1765 0.0000 0.0000
0.0000 4.1806 0.0000
0.0000 0.0000 10.7250
Y Ga Rh
4 3 1
Direct
0.0000 0.0000 0.0000
0.0000 0.5000 0.4815
0.5000 0.0000 0.7037
0.5000 0.5000 0.2095
0.0000 0.5000 0.7721
0.5000 0.0000 0.4206
0.5000 0.5000 0.9219
0.0000 0.0000 0.2721
```

No. 4
Y8Ga2Rh: relaxed, PBE.

Computed properties:
- Fermi-level density of states: 11.64 states/eV per cell
- Symmetry: C2/m
- Uncorrected energy: -69.3 eV/cell

The structure in POSCAR format:
```
Y8Ga2Rh
1.0
9.2501 -2.4758 0.0000
9.2501 2.4758 0.0000
-1.3931 0.0000 6.4744
Y Ga Rh
8 2 1
Direct
0.0250 0.0250 0.2815
0.2102 0.2102 0.8227
0.3475 0.3475 0.5186
0.4103 0.4103 0.0441
0.5897 0.5897 0.9559
0.6525 0.6525 0.4814
0.7898 0.7898 0.1773
0.9750 0.9750 0.7185
0.1875 0.1875 0.2572
0.8125 0.8125 0.7428
0.5000 0.5000 0.5000
```

No. 5
YGa5Rh2: relaxed, PBE.

Computed properties:
- Fermi-level density of states: 3.01 states/eV per cell
- Symmetry: Immm
- Uncorrected energy: -41.0 eV/cell

The structure in POSCAR format:
```
YGa5Rh2
1.0
-1.8987 3.7290 5.0028
1.8987 -3.7290 5.0028
1.8987 3.7290 -5.0028
Y Ga Rh
1 5 2
Direct
0.0000 0.0000 0.0000
0.1555 0.3548 0.8007
0.4458 0.6452 0.8007
0.5000 0.0000 0.5000
0.5542 0.3548 0.1993
0.8445 0.6452 0.1993
0.2550 0.7550 0.5000
0.7450 0.2450 0.5000
```

No. 6
YGaRh2: relaxed, PBE.

Computed properties:
- Fermi-level density of states: 1.28 states/eV per cell
- Symmetry: P4/mmm
- Uncorrected energy: -27.3 eV/cell

The structure in POSCAR format:
```
YGaRh2
1.0
4.3690 0.0000 0.0000
0.0000 4.3690 0.0000
0.0000 0.0000 3.5373
Y Ga Rh
1 1 2
Direct
0.0000 0.0000 0.0000
0.5000 0.5000 0.0000
0.0000 0.5000 0.5000
0.5000 0.0000 0.5000
```

No. 7
Y3GaRh2: relaxed, PBE.

Computed properties:
- Fermi-level density of states: 10.82 states/eV per cell
- Symmetry: Pnma
- Uncorrected energy: -166.3 eV/cell

The structure in POSCAR format:
```
Y3GaRh2
1.0
11.8319 0.0000 0.0000
0.0000 3.8979 0.0000
0.0000 0.0000 11.9301
Y Ga Rh
12 4 8
Direct
0.0547 0.2500 0.1224
0.1323 0.7500 0.5703
0.1992 0.2500 0.8209
0.3008 0.7500 0.3209
0.3677 0.2500 0.0703
0.4453 0.7500 0.6224
0.5547 0.2500 0.3776
0.6323 0.7500 0.9297
0.6992 0.2500 0.6791
0.8008 0.7500 0.1791
0.8677 0.2500 0.4297
0.9453 0.7500 0.8776
0.1203 0.2500 0.3707
0.3797 0.7500 0.8707
0.6203 0.2500 0.1293
0.8797 0.7500 0.6293
0.0046 0.7500 0.3056
0.1909 0.7500 0.9921
0.3091 0.2500 0.4921
0.4954 0.2500 0.8056
0.5046 0.7500 0.1944
0.6909 0.7500 0.5079
0.8091 0.2500 0.0079
0.9954 0.2500 0.6944
```

No. 8
YGaRh2: relaxed, PBE.

Computed properties:
- Fermi-level density of states: 0.93 states/eV per cell
- Symmetry: I-42d
- Uncorrected energy: -51.9 eV/cell

The structure in POSCAR format:
```
YGaRh2
1.0
-3.5521 3.5521 2.9796
3.5521 -3.5521 2.9796
3.5521 3.5521 -2.9796
Y Ga Rh
2 2 4
Direct
0.0000 0.0000 0.0000
0.7500 0.2500 0.5000
0.2500 0.7500 0.5000
0.5000 0.5000 0.0000
0.1725 0.6250 0.0475
0.3750 0.4225 0.5475
0.5775 0.1250 0.9525
0.8750 0.8275 0.4525
```